Entry 1:
Ti6Bi2Mo | the Alexandria database | PBE | relaxed; ΔH_f (0 K) = -0.06 eV/atom; volume = 174 Å³ per cell; raw total energy = -7.39 eV per atom; calculated density = 7.6 g cm⁻³
1.0
3.486 0.000 0.000
0.000 7.603 0.000
0.000 -3.802 6.571
Ti Mo Bi
6 1 2
Direct
0.500 0.376 0.376 Ti
0.500 0.000 0.624 Ti
0.000 0.753 0.754 Ti
0.000 0.247 0.000 Ti
0.500 0.624 0.000 Ti
0.000 0.999 0.246 Ti
0.500 0.001 0.000 Mo
0.000 0.333 0.666 Bi
0.000 0.667 0.334 Bi

Entry 2:
AgGeAsO6 | the Alexandria database | PBE | relaxed; volume = 200 Å³ per cell; raw total energy = -5.56 eV per atom; calculated density = 5.8 g cm⁻³
1.0
5.005 0.000 0.000
-2.502 4.334 0.000
0.000 0.000 9.220
O Ag As Ge
12 2 2 2
Direct
0.634 0.007 0.860 O
0.627 0.634 0.140 O
0.627 0.993 0.360 O
0.993 0.366 0.640 O
0.993 0.627 0.860 O
0.366 0.993 0.140 O
0.634 0.627 0.640 O
0.373 0.366 0.860 O
0.007 0.634 0.360 O
0.007 0.373 0.140 O
0.366 0.373 0.360 O
0.373 0.007 0.640 O
0.000 0.000 0.500 Ag
0.000 0.000 0.000 Ag
0.333 0.667 0.250 As
0.667 0.333 0.750 As
0.333 0.667 0.750 Ge
0.667 0.333 0.250 Ge

Question: The highest volume belongs to which entry?
Answer: AgGeAsO6